{"formula": "PmMnSe2O", "functional": "PBE with a Hubbard U", "state": "relaxed", "lattice_angstrom": [[3.947, 0.000, 0.000], [0.000, 3.947, 0.000], [0.000, 0.000, 13.522]], "species": ["Pm", "Pm", "Mn", "Mn", "Se", "Se", "Se", "Se", "O", "O"], "fractional_positions": [[0.250, 0.250, 0.090], [0.750, 0.750, 0.910], [0.250, 0.250, 0.604], [0.750, 0.750, 0.396], [0.250, 0.250, 0.412], [0.250, 0.250, 0.787], [0.750, 0.750, 0.213], [0.750, 0.750, 0.588], [0.250, 0.750, 0.000], [0.750, 0.250, 0.000]], "vol_a3_per_cell": 211, "dos_ef_per_ev_atom": 0.297, "energy_ev_per_atom": -6.54, "magmom_total_mub_per_atom": 0.802}